Arrangement A

Entry from Alexandria: a PBEsol-optimized structure of BeCdTc2 (SCAN).

Lattice parameters (Å, degrees): 8.8644 8.8644 8.8644 17.65 17.65 17.65
With the nearest neighbours (Å) after each atom.
Element x y z (fractional)
Be 0.0000 0.0000 0.0000  6 Tc 2.48, 6 Be 2.72
Cd 0.5000 0.5000 0.5000  6 Cd 2.72, 6 Tc 2.91
Tc 0.2601 0.2601 0.2601  3 Be 2.48, 6 Tc 2.72
Tc 0.7399 0.7399 0.7399  3 Be 2.48, 6 Tc 2.72

=====

Arrangement B

Entry from Alexandria: a PBEsol-optimized structure of BeCdTc2 (SCAN).

Lattice parameters (Å, degrees): 5.3257 5.3257 5.3257 150.35 131.91 57.51
With the nearest neighbours (Å) after each atom.
Element x y z (fractional)
Be 0.0000 0.0000 0.0000  4 Tc 2.39, 4 Cd 2.56
Cd 0.5000 0.5000 0.0000  4 Be 2.56, 2 Cd 2.73
Tc 0.2106 0.7106 0.5000  2 Be 2.39, 4 Tc 2.67
Tc 0.7894 0.2894 0.5000  2 Be 2.39, 4 Tc 2.67

=====

Q: Which of them is the most stable? A: arrangement B.

=====

Arrangement A

Entry from Alexandria: a PBEsol-optimized structure of BeCdTe2 (SCAN).

Lattice parameters (Å, degrees): 7.2850 7.2850 7.2850 130.51 130.51 72.59
With the nearest neighbours (Å) after each atom.
Element x y z (fractional)
Be 0.0000 0.0000 0.0000  4 Te 2.44
Be 0.7500 0.2500 0.5000  4 Te 2.44
Cd 0.2500 0.7500 0.5000  4 Te 2.80
Cd 0.5000 0.5000 0.0000  4 Te 2.80
Te 0.0744 0.6250 0.9494  2 Be 2.44
Te 0.3750 0.3244 0.4494  2 Be 2.44
Te 0.6756 0.1250 0.0506  2 Be 2.44
Te 0.8750 0.9256 0.5506  2 Be 2.44

=====

Arrangement B

Entry from Alexandria: a PBEsol-optimized structure of BeCdTe2 (SCAN).

Lattice parameters (Å, degrees): 3.8349 3.8349 6.7230 90.00 90.00 90.00
With the nearest neighbours (Å) after each atom.
Element x y z (fractional)
Be 0.0000 0.0000 0.0000  1 Te 2.41
Cd 0.5000 0.5000 0.5080  5 Te 2.78-2.89
Te 0.0000 0.0000 0.3586  1 Be 2.41
Te 0.5000 0.5000 0.9208  4 Be 2.76, 1 Cd 2.78

=====

Q: Which of them is the most stable? A: arrangement A.

=====

Arrangement A

Entry from Alexandria: a PBEsol-optimized structure of BeTl2Cd (SCAN).

Lattice parameters (Å, degrees): 3.2965 3.2965 8.1351 90.00 90.00 102.58
With the nearest neighbours (Å) after each atom.
Element x y z (fractional)
Be 0.0000 0.0000 0.0000  4 Tl 2.69
Tl 0.5000 0.5000 0.2117  2 Be 2.69
Tl 0.5000 0.5000 0.7883  2 Be 2.69
Cd 0.0000 0.0000 0.5000  8 Tl 3.12-3.48, 4 Cd 3.30

=====

Arrangement B

Entry from Alexandria: a PBEsol-optimized structure of BeTl2Cd (SCAN).

Lattice parameters (Å, degrees): 4.2735 3.1751 6.6765 90.00 108.61 90.00
With the nearest neighbours (Å) after each atom.
Element x y z (fractional)
Be 0.0000 0.0000 0.0000  2 Cd 2.63, 5 Tl 2.64-2.68
Tl 0.4773 0.5000 0.9553  4 Be 2.68
Tl 0.7899 0.0000 0.5835  1 Be 2.64
Cd 0.1649 0.5000 0.3315  2 Be 2.63

=====

Q: Which of them is the most stable? A: arrangement B.

=====

Arrangement A

Entry from Alexandria: a PBEsol-optimized structure of Be2ZnCd (SCAN).

Lattice parameters (Å, degrees): 2.6677 4.1113 4.9562 90.00 90.00 90.00
With the nearest neighbours (Å) after each atom.
Element x y z (fractional)
Be 0.0000 0.0000 0.0000  4 Cd 2.45, 2 Be 2.67
Be 0.5000 0.0000 0.5000  4 Zn 2.45, 2 Be 2.67
Zn 0.0000 0.5000 0.5000  4 Be 2.45, 2 Zn 2.67
Cd 0.5000 0.5000 0.0000  4 Be 2.45, 2 Cd 2.67

=====

Arrangement B

Entry from Alexandria: a PBEsol-optimized structure of Be2ZnCd (SCAN).

Lattice parameters (Å, degrees): 2.8131 2.8131 8.2155 90.00 90.00 123.18
With the nearest neighbours (Å) after each atom.
Element x y z (fractional)
Be 0.0000 0.0000 0.2328  2 Zn 2.33, 2 Cd 2.57
Be 0.0000 0.0000 0.7672  2 Zn 2.33, 2 Cd 2.57
Zn 0.5000 0.5000 0.0000  4 Be 2.33
Cd 0.5000 0.5000 0.5000  4 Be 2.57, 6 Cd 2.68-2.81

=====

Q: Which of them is the most stable? A: arrangement B.

=====

Arrangement A

Entry from Alexandria: a PBEsol-optimized structure of Zr2BeCd (SCAN).

Lattice parameters (Å, degrees): 4.7653 4.7653 4.7653 60.00 60.00 60.00
With the nearest neighbours (Å) after each atom.
Element x y z (fractional)
Zr 0.0000 0.0000 0.0000  4 Zr 2.92, 4 Be 2.92
Zr 0.2500 0.2500 0.2500  4 Zr 2.92, 4 Cd 2.92
Be 0.7500 0.7500 0.7500  4 Cd 2.92, 4 Zr 2.92
Cd 0.5000 0.5000 0.5000  4 Zr 2.92, 4 Be 2.92

=====

Arrangement B

Entry from Alexandria: a PBEsol-optimized structure of Zr2BeCd (SCAN).

Lattice parameters (Å, degrees): 3.0046 3.0046 7.9191 90.00 90.00 90.00
With the nearest neighbours (Å) after each atom.
Element x y z (fractional)
Zr 0.0000 0.0000 0.2137  4 Be 2.72, 4 Zr 3.00
Zr 0.0000 0.0000 0.7863  4 Be 2.72, 4 Zr 3.00
Be 0.5000 0.5000 0.0000  8 Zr 2.72, 4 Be 3.00
Cd 0.5000 0.5000 0.5000  4 Cd 3.00, 8 Zr 3.11

=====

Q: Which of them is the most stable? A: arrangement B.

=====

Arrangement A

Entry from Alexandria: a PBEsol-optimized structure of Be3Cl (SCAN).

Lattice parameters (Å, degrees): 4.4200 4.4200 4.4200 115.37 115.37 115.37
With the nearest neighbours (Å) after each atom.
Element x y z (fractional)
Be 0.0000 0.5000 0.5000  4 Be 2.36, 2 Cl 2.36
Be 0.5000 0.0000 0.5000  2 Cl 2.36, 4 Be 2.36
Be 0.5000 0.5000 0.0000  4 Be 2.36, 2 Cl 2.36
Cl 0.0000 0.0000 0.0000  6 Be 2.36

=====

Arrangement B

Entry from Alexandria: a PBEsol-optimized structure of Be3Cl (SCAN).

Lattice parameters (Å, degrees): 3.6715 3.6715 3.6715 90.00 90.00 90.00
With the nearest neighbours (Å) after each atom.
Element x y z (fractional)
Be 0.0000 0.0000 0.5000  4 Cl 2.60, 8 Be 2.60
Be 0.0000 0.5000 0.0000  4 Cl 2.60, 8 Be 2.60
Be 0.5000 0.0000 0.0000  4 Cl 2.60, 8 Be 2.60
Cl 0.5000 0.5000 0.5000  12 Be 2.60

=====

Arrangement C

Entry from Alexandria: a PBEsol-optimized structure of Be3Cl (SCAN).

Lattice parameters (Å, degrees): 4.5421 4.5421 4.5421 90.00 90.00 90.00
With the nearest neighbours (Å) after each atom.
Element x y z (fractional)
Be 0.0000 0.2500 0.5000  2 Be 2.27, 4 Cl 2.54
Be 0.0000 0.7500 0.5000  2 Be 2.27, 4 Cl 2.54
Be 0.2500 0.5000 0.0000  2 Be 2.27, 4 Cl 2.54
Be 0.5000 0.0000 0.2500  2 Be 2.27, 4 Cl 2.54
Be 0.5000 0.0000 0.7500  2 Be 2.27, 4 Cl 2.54
Be 0.7500 0.5000 0.0000  2 Be 2.27, 4 Cl 2.54
Cl 0.0000 0.0000 0.0000  12 Be 2.54
Cl 0.5000 0.5000 0.5000  12 Be 2.54

=====

Q: Which of them is the most stable? A: arrangement A.

=====

Arrangement A

Entry from Alexandria: a PBEsol-optimized structure of BeCrCl2 (SCAN).

Lattice parameters (Å, degrees): 3.2087 3.2087 6.1361 90.00 90.00 90.00
With the nearest neighbours (Å) after each atom.
Element x y z (fractional)
Be 0.0000 0.0000 0.0000  8 Cl 2.74, 2 Cr 3.07
Cr 0.0000 0.0000 0.5000  8 Cl 2.74
Cl 0.5000 0.5000 0.2508  4 Cr 2.74, 4 Be 2.74, 1 Cl 3.06
Cl 0.5000 0.5000 0.7492  4 Cr 2.74, 4 Be 2.74, 1 Cl 3.06

=====

Arrangement B

Entry from Alexandria: a PBEsol-optimized structure of BeCrCl2 (SCAN).

Lattice parameters (Å, degrees): 8.2002 8.2002 8.2002 21.48 21.48 21.48
With the nearest neighbours (Å) after each atom.
Element x y z (fractional)
Be 0.0000 0.0000 0.0000  3 Cl 2.16
Cr 0.7476 0.7476 0.7476  3 Cl 2.26
Cl 0.2814 0.2814 0.2814  3 Be 2.16
Cl 0.4731 0.4731 0.4731  3 Cr 2.26

=====

Arrangement C

Entry from Alexandria: a PBEsol-optimized structure of BeCrCl2 (SCAN).

Lattice parameters (Å, degrees): 3.0850 3.0850 8.0872 101.66 101.66 60.01
With the nearest neighbours (Å) after each atom.
Element x y z (fractional)
Be 0.0000 0.0000 0.0000  3 Cl 2.16
Cr 0.4155 0.4155 0.2316  3 Cl 2.28, 3 Be 2.55
Cl 0.2787 0.2787 0.8452  3 Be 2.16
Cl 0.8128 0.8128 0.4128  3 Cr 2.28

=====

Arrangement D

Entry from Alexandria: a PBEsol-optimized structure of BeCrCl2 (SCAN).

Lattice parameters (Å, degrees): 2.9454 2.9454 6.8856 90.00 90.00 90.00
With the nearest neighbours (Å) after each atom.
Element x y z (fractional)
Be 0.0000 0.0000 0.0000  4 Cl 2.37, 4 Cr 2.46
Cr 0.5000 0.5000 0.8112  5 Cl 2.43-2.54, 4 Be 2.46
Cl 0.0000 0.0000 0.6007  4 Cr 2.54, 1 Be 2.75
Cl 0.5000 0.5000 0.1644  4 Be 2.37, 1 Cr 2.43

=====

Q: Which of them is the most stable? A: arrangement C.

=====

Arrangement A

Entry from Alexandria: a PBEsol-optimized structure of BeCr2Cl (SCAN).

Lattice parameters (Å, degrees): 2.7927 2.7927 7.6235 90.00 90.00 117.59
With the nearest neighbours (Å) after each atom.
Element x y z (fractional)
Be 0.0000 0.0000 0.0000  2 Cl 2.04
Cr 0.0000 0.0000 0.5449  2 Cr 2.13
Cr 0.5000 0.5000 0.7500  2 Cr 2.13
Cl 0.5000 0.5000 0.1882  2 Be 2.04

=====

Arrangement B

Entry from Alexandria: a PBEsol-optimized structure of BeCr2Cl (SCAN).

Lattice parameters (Å, degrees): 3.8336 3.8336 6.4843 116.71 116.71 50.62
With the nearest neighbours (Å) after each atom.
Element x y z (fractional)
Be 0.0000 0.0000 0.0000  6 Cr 2.19-2.23
Cr 0.3605 0.3605 0.1096  3 Be 2.19-2.23, 2 Cr 2.21, 1 Cl 2.22
Cr 0.6395 0.6395 0.8904  3 Be 2.19-2.23, 2 Cr 2.21, 1 Cl 2.22
Cl 0.5000 0.5000 0.5000  2 Cr 2.22

=====

Q: Which of them is the most stable? A: arrangement B.

=====

Arrangement A

Entry from Alexandria: a PBEsol-optimized structure of BeCu2Cl (SCAN).

Lattice parameters (Å, degrees): 4.2412 4.2412 4.2412 60.00 60.00 60.00
With the nearest neighbours (Å) after each atom.
Element x y z (fractional)
Be 0.0000 0.0000 0.0000  8 Cu 2.60
Cu 0.2500 0.2500 0.2500  4 Cl 2.60, 4 Be 2.60
Cu 0.7500 0.7500 0.7500  4 Cl 2.60, 4 Be 2.60
Cl 0.5000 0.5000 0.5000  8 Cu 2.60

=====

Arrangement B

Entry from Alexandria: a PBEsol-optimized structure of BeCu2Cl (SCAN).

Lattice parameters (Å, degrees): 7.2538 7.2538 7.2538 22.97 22.97 22.97
With the nearest neighbours (Å) after each atom.
Element x y z (fractional)
Be 0.0000 0.0000 0.0000  6 Cu 2.34
Cu 0.2558 0.2558 0.2558  3 Be 2.34, 3 Cl 2.52
Cu 0.7442 0.7442 0.7442  3 Be 2.34, 3 Cl 2.52
Cl 0.5000 0.5000 0.5000  6 Cu 2.52

=====

Arrangement C

Entry from Alexandria: a PBEsol-optimized structure of BeCu2Cl (SCAN).

Lattice parameters (Å, degrees): 2.7938 2.7938 7.8782 90.00 90.00 115.81
With the nearest neighbours (Å) after each atom.
Element x y z (fractional)
Be 0.0000 0.0000 0.0000  2 Cl 2.04, 2 Cu 2.27
Cu 0.0000 0.0000 0.4585  2 Cu 2.41
Cu 0.5000 0.5000 0.2178  2 Be 2.27, 2 Cu 2.41
Cl 0.5000 0.5000 0.8232  2 Be 2.04

=====

Arrangement D

Entry from Alexandria: a PBEsol-optimized structure of BeCu2Cl (SCAN).

Lattice parameters (Å, degrees): 2.9207 2.9207 5.9482 90.00 90.00 90.00
With the nearest neighbours (Å) after each atom.
Element x y z (fractional)
Be 0.0000 0.0000 0.0000  8 Cu 2.38
Cu 0.5000 0.5000 0.1981  1 Cu 2.36, 4 Be 2.38
Cu 0.5000 0.5000 0.8019  1 Cu 2.36, 4 Be 2.38
Cl 0.0000 0.0000 0.5000  8 Cu 2.74, 4 Cl 2.92, 2 Be 2.97

=====

Q: Which of them is the most stable? A: arrangement C.

=====

Arrangement A

Entry from Alexandria: a PBEsol-optimized structure of Be2CuCl (SCAN).

Lattice parameters (Å, degrees): 4.1479 4.1479 4.1479 60.00 60.00 60.00
With the nearest neighbours (Å) after each atom.
Element x y z (fractional)
Be 0.2500 0.2500 0.2500  4 Cl 2.54, 4 Cu 2.54
Be 0.7500 0.7500 0.7500  4 Cl 2.54, 4 Cu 2.54
Cu 0.0000 0.0000 0.0000  8 Be 2.54
Cl 0.5000 0.5000 0.5000  8 Be 2.54

=====

Arrangement B

Entry from Alexandria: a PBEsol-optimized structure of Be2CuCl (SCAN).

Lattice parameters (Å, degrees): 4.0493 4.0493 6.1101 120.05 120.05 41.63
With the nearest neighbours (Å) after each atom.
Element x y z (fractional)
Be 0.1470 0.1470 0.3511  2 Be 2.18, 3 Cu 2.29-2.32, 2 Cl 2.31
Be 0.8530 0.8530 0.6489  2 Be 2.18, 3 Cu 2.29-2.32, 2 Cl 2.31
Cu 0.5000 0.5000 0.5000  6 Be 2.29-2.32
Cl 0.5000 0.5000 0.0000  4 Be 2.31

=====

Q: Which of them is the most stable? A: arrangement B.

=====

Arrangement A

Entry from Alexandria: a PBEsol-optimized structure of BeFeCl2 (SCAN).

Lattice parameters (Å, degrees): 5.9020 5.9020 5.9020 129.85 129.85 73.64
With the nearest neighbours (Å) after each atom.
Element x y z (fractional)
Be 0.0000 0.0000 0.0000  4 Cl 2.03
Be 0.7500 0.2500 0.5000  4 Cl 2.03
Fe 0.2500 0.7500 0.5000  4 Cl 2.23
Fe 0.5000 0.5000 0.0000  4 Cl 2.23
Cl 0.0911 0.6250 0.9661  2 Be 2.03, 2 Fe 2.23
Cl 0.3750 0.3411 0.4661  2 Be 2.03, 2 Fe 2.23
Cl 0.6589 0.1250 0.0339  2 Be 2.03, 2 Fe 2.23
Cl 0.8750 0.9089 0.5339  2 Be 2.03, 2 Fe 2.23

=====

Arrangement B

Entry from Alexandria: a PBEsol-optimized structure of BeFeCl2 (SCAN).

Lattice parameters (Å, degrees): 3.2141 3.2141 8.2929 90.00 90.00 124.50
With the nearest neighbours (Å) after each atom.
Element x y z (fractional)
Be 0.0000 0.0000 0.0000  2 Cl 2.00
Fe 0.5000 0.5000 0.7745  2 Cl 2.25, 2 Be 2.40
Cl 0.0000 0.0000 0.5715  2 Fe 2.25
Cl 0.5000 0.5000 0.1606  2 Be 2.00

=====

Arrangement C

Entry from Alexandria: a PBEsol-optimized structure of BeFeCl2 (SCAN).

Lattice parameters (Å, degrees): 3.0171 2.9219 7.6957 90.00 100.91 90.00
With the nearest neighbours (Å) after each atom.
Element x y z (fractional)
Be 0.0000 0.0000 0.0000  2 Cl 2.00
Fe 0.3971 0.5000 0.7801  4 Cl 2.48-2.49, 4 Be 2.67-2.68
Cl 0.0892 0.5000 0.1809  2 Be 2.00
Cl 0.8133 0.0000 0.6043  4 Fe 2.48-2.49

=====

Q: Which of them is the most stable? A: arrangement B.

=====

Arrangement A

Entry from Alexandria: a PBEsol-optimized structure of BeFeCl2 (SCAN).

Lattice parameters (Å, degrees): 6.2679 6.2679 6.2679 149.67 149.67 43.43
With the nearest neighbours (Å) after each atom.
Element x y z (fractional)
Be 0.0000 0.0000 0.0000  4 Cl 2.32
Fe 0.2500 0.7500 0.5000  4 Cl 2.32
Cl 0.5000 0.5000 0.0000  4 Be 2.32
Cl 0.7500 0.2500 0.5000  4 Fe 2.32

=====

Arrangement B

Entry from Alexandria: a PBEsol-optimized structure of BeFeCl2 (SCAN).

Lattice parameters (Å, degrees): 2.9542 2.9542 8.4803 90.00 90.00 90.00
With the nearest neighbours (Å) after each atom.
Element x y z (fractional)
Be 0.0000 0.0000 0.0000  4 Be 2.95
Fe 0.0000 0.0000 0.5000  8 Cl 2.57
Cl 0.5000 0.5000 0.3237  4 Fe 2.57
Cl 0.5000 0.5000 0.6763  4 Fe 2.57

=====

Q: Which of them is the most stable? A: arrangement B.